# Sc3TlP (PBE-GGA, optimized geometry)
# - distance to the lowest polymorph of the same formula (meV per atom) = 29
# - raw total energy (eV per cell) = -60.608
# - DOS at the Fermi energy (states/eV per atom) = 1.000
# - total moment (μB/atom) = 0.000
data_Sc3TlP
_chemical_formula_sum 'Sc6 Tl2 P2'
_symmetry_space_group_name_H-M 'P m c 21'
_symmetry_Int_Tables_number 26
_cell_length_a 3.608
_cell_length_b 7.846
_cell_length_c 7.527
_cell_angle_alpha 90.00
_cell_angle_beta 90.00
_cell_angle_gamma 90.00
loop_
_symmetry_equiv_pos_as_xyz
'x,y,z'
'-x,-y,z+1/2'
'-x,y,z'
'x,-y,z+1/2'
loop_
_atom_site_label
_atom_site_type_symbol
_atom_site_fract_x
_atom_site_fract_y
_atom_site_fract_z
_atom_site_occupancy
Sc1 Sc 0.000 0.075 0.000 1
Sc2 Sc 0.000 0.343 0.683 1
Sc3 Sc 0.500 0.226 0.360 1
Tl1 Tl 0.500 0.408 0.012 1
P1 P 0.500 0.087 0.699 1